(i)
## ReNi2Br (GGA-PBE)

Data for an optimized crystal structure of ReNi2Br.

POSCAR file:
```
ReNi2Br
1.0
1.435 0.828 8.168
-1.435 0.828 8.168
0.000 -1.657 8.168
Re Ni Br
1 2 1
Cartesian
0.000 0.000 0.000
0.000 0.000 6.208
0.000 0.000 18.296
0.000 0.000 12.252
```

Properties
- Total magnetization: 0.00 μB/f.u.
- Space-group type: R-3m

=====

(ii)
## ReNi2Br (GGA-PBE)

Data for an optimized crystal structure of ReNi2Br.

POSCAR file:
```
ReNi2Br
1.0
2.578 -3.912 0.000
2.578 3.912 0.000
0.000 0.000 2.785
Re Ni Br
1 2 1
Cartesian
0.000 0.000 0.000
1.289 1.956 1.392
1.289 -1.956 1.392
2.578 0.000 0.000
```

Properties
- Total magnetization: 0.00 μB/f.u.
- Space-group type: Cmmm

=====

The least stable of the structures above is (ii), whereas (i) is the most stable.